The following is a DFT calculation (PBE) of KFe2Au after structural relaxation.

The structure in CIF format:
```
data_KFe2Au
_chemical_formula_sum 'K2 Fe4 Au2'
_symmetry_space_group_name_H-M 'P 1'
_symmetry_Int_Tables_number 1
_cell_length_a 9.840
_cell_length_b 9.840
_cell_length_c 9.840
_cell_angle_alpha 152.19
_cell_angle_beta 152.19
_cell_angle_gamma 39.74
loop_
_symmetry_equiv_pos_as_xyz
'x,y,z'
loop_
_atom_site_label
_atom_site_type_symbol
_atom_site_fract_x
_atom_site_fract_y
_atom_site_fract_z
_atom_site_occupancy
K1 K 0.375 0.625 0.750 1
K2 K 0.625 0.375 0.250 1
Fe1 Fe 0.000 0.000 0.000 1
Fe2 Fe 0.000 0.000 0.500 1
Fe3 Fe 0.000 0.500 0.000 1
Fe4 Fe 0.500 0.000 0.500 1
Au1 Au 0.125 0.875 0.250 1
Au2 Au 0.875 0.125 0.750 1
```

energy of formation = 734 meV per atom
total energy = -4.59 eV/atom
symmetry = I4_1/amd (141)

***

The following is a DFT calculation (PBE) of SrDyRu2O8 after structural relaxation.

The structure in CIF format:
```
data_SrDyRu2O8
_chemical_formula_sum 'Sr1 Dy1 Ru2 O8'
_symmetry_space_group_name_H-M 'P 1'
_symmetry_Int_Tables_number 1
_cell_length_a 5.883
_cell_length_b 5.883
_cell_length_c 7.206
_cell_angle_alpha 90.00
_cell_angle_beta 90.00
_cell_angle_gamma 120.00
loop_
_symmetry_equiv_pos_as_xyz
'x,y,z'
loop_
_atom_site_label
_atom_site_type_symbol
_atom_site_fract_x
_atom_site_fract_y
_atom_site_fract_z
_atom_site_occupancy
Sr1 Sr 0.000 0.000 0.000 1
Dy1 Dy 0.000 0.000 0.500 1
Ru1 Ru 0.333 0.667 0.788 1
Ru2 Ru 0.667 0.333 0.212 1
O1 O 0.162 0.324 0.711 1
O2 O 0.162 0.838 0.711 1
O3 O 0.324 0.162 0.289 1
O4 O 0.333 0.667 0.034 1
O5 O 0.667 0.333 0.966 1
O6 O 0.676 0.838 0.711 1
O7 O 0.838 0.162 0.289 1
O8 O 0.838 0.676 0.289 1
```

formation energy (no corrections) = -1.65 eV per atom
total energy = -7.03 eV/atom
symmetry = P-3m1 (164)

***

The following is a DFT calculation (PBE) of MgZnAg3 after structural relaxation.

The structure in CIF format:
```
data_MgZnAg3
_chemical_formula_sum 'Mg1 Zn1 Ag3'
_symmetry_space_group_name_H-M 'P 1'
_symmetry_Int_Tables_number 1
_cell_length_a 4.976
_cell_length_b 4.976
_cell_length_c 4.976
_cell_angle_alpha 90.00
_cell_angle_beta 90.00
_cell_angle_gamma 90.00
loop_
_symmetry_equiv_pos_as_xyz
'x,y,z'
loop_
_atom_site_label
_atom_site_type_symbol
_atom_site_fract_x
_atom_site_fract_y
_atom_site_fract_z
_atom_site_occupancy
Mg1 Mg 0.000 0.000 0.000 1
Zn1 Zn 0.500 0.500 0.500 1
Ag1 Ag 0.000 0.000 0.500 1
Ag2 Ag 0.000 0.500 0.000 1
Ag3 Ag 0.500 0.000 0.000 1
```

energy of formation = 673 meV per atom
total energy = -1.61 eV/atom
polymorph energy (0 for the lowest one) = 0.793 eV per atom
symmetry = Pm-3m (221)

***

The following is a DFT calculation (PBE) of ZrCrMo4 after structural relaxation.

The structure in CIF format:
```
data_ZrCrMo4
_chemical_formula_sum 'Zr1 Cr1 Mo4'
_symmetry_space_group_name_H-M 'P 1'
_symmetry_Int_Tables_number 1
_cell_length_a 5.292
_cell_length_b 5.292
_cell_length_c 5.292
_cell_angle_alpha 60.00
_cell_angle_beta 60.00
_cell_angle_gamma 60.00
loop_
_symmetry_equiv_pos_as_xyz
'x,y,z'
loop_
_atom_site_label
_atom_site_type_symbol
_atom_site_fract_x
_atom_site_fract_y
_atom_site_fract_z
_atom_site_occupancy
Zr1 Zr 0.000 0.000 0.000 1
Cr1 Cr 0.750 0.750 0.750 1
Mo1 Mo 0.375 0.375 0.375 1
Mo2 Mo 0.375 0.375 0.876 1
Mo3 Mo 0.375 0.876 0.375 1
Mo4 Mo 0.876 0.375 0.375 1
```

energy of formation = 229 meV per atom
total energy = -10.02 eV/atom
symmetry = F-43m (216)